# 1
Rb6LaO4 | the Alexandria database | PBE | relaxed; theoretical density = 3.73 g/cm³; space group = P6_3mc; raw total energy = -91.65 eV/cell; magnetic moment = 0.23 μB per formula unit; crystal system = hexagonal; uncorrected formation energy = -1.387 eV per atom
1.0
7.010 0.000 0.000
0.000 8.872 -5.122
0.000 0.000 10.245
Rb O La
12 8 2
Direct
0.135 0.090 0.545
0.490 0.134 0.866
0.635 0.545 0.455
0.135 0.455 0.910
0.990 0.866 0.134
0.990 0.269 0.134
0.490 0.731 0.866
0.635 0.910 0.455
0.135 0.455 0.545
0.990 0.866 0.731
0.635 0.545 0.090
0.490 0.134 0.269
0.339 0.786 0.573
0.386 0.333 0.667
0.839 0.214 0.427
0.339 0.427 0.214
0.339 0.786 0.214
0.839 0.573 0.786
0.886 0.667 0.333
0.839 0.214 0.786
0.214 0.667 0.333
0.714 0.333 0.667

***

# 2
Rb5LaO4 | the Alexandria database | PBE | relaxed; theoretical density = 4.02 g/cm³; space group = C2/m; raw total energy = -45.09 eV/cell; magnetic moment = 0.18 μB per formula unit; crystal system = monoclinic; uncorrected formation energy = -1.549 eV per atom
1.0
3.913 0.000 0.000
0.000 7.771 -0.573
-1.957 -1.702 8.697
O Rb La
4 5 1
Direct
0.001 0.788 0.001
0.999 0.212 0.999
0.356 0.905 0.713
0.644 0.095 0.287
0.156 0.328 0.312
0.164 0.873 0.327
0.836 0.127 0.673
0.844 0.672 0.688
0.500 0.500 0.000
0.500 0.000 0.000

***

# 3
RbLaO3 | the Alexandria database | PBE | relaxed; theoretical density = 5.42 g/cm³; space group = Pm-3m; raw total energy = -24.06 eV/cell; magnetic moment = 0.00 μB per formula unit; crystal system = cubic; uncorrected formation energy = -0.658 eV per atom
1.0
4.369 0.000 0.000
0.000 4.369 0.000
0.000 0.000 4.369
La O Rb
1 3 1
Direct
0.500 0.500 0.500
0.000 0.500 0.000
0.500 0.000 0.000
0.000 0.000 0.500
0.000 0.000 0.000

***

# 4
Rb3LaO3 | the Alexandria database | PBE | relaxed; theoretical density = 4.24 g/cm³; space group = Imma; raw total energy = -71.65 eV/cell; energy relative to the lowest polymorph listed for this composition = 0.000 eV per atom; magnetic moment = 0.00 μB per formula unit; crystal system = orthorhombic; uncorrected formation energy = -1.874 eV per atom
1.0
7.777 1.693 -1.118
3.069 7.344 -1.118
-2.570 -2.141 7.219
O Rb La
6 6 2
Direct
0.000 0.500 0.803
0.023 0.023 0.773
0.000 0.500 0.197
0.977 0.977 0.227
0.500 0.000 0.803
0.500 0.000 0.197
0.779 0.779 0.529
0.746 0.254 0.500
0.254 0.746 0.500
0.253 0.747 0.000
0.747 0.253 0.000
0.221 0.221 0.471
0.215 0.215 0.966
0.785 0.785 0.034

***

# 5
RbLaO3 | the Alexandria database | PBE | relaxed; theoretical density = 4.71 g/cm³; space group = Pm-3m; raw total energy = -29.79 eV/cell; magnetic moment = 2.00 μB per formula unit; crystal system = cubic; uncorrected formation energy = -1.804 eV per atom
1.0
-1.777 3.966 -1.444
0.828 -1.209 -4.339
-4.139 -1.945 -0.248
O La Rb
3 1 1
Direct
0.000 0.000 0.500
0.500 0.000 0.000
0.000 0.500 0.000
0.000 0.000 0.000
0.500 0.500 0.500

***

# 6
RbLa2O2 | the Alexandria database | PBE | relaxed; theoretical density = 3.57 g/cm³; space group = I4/mmm; raw total energy = -31.76 eV/cell; magnetic moment = 1.00 μB per formula unit; crystal system = tetragonal; uncorrected formation energy = -2.205 eV per atom
1.0
4.229 0.000 0.000
0.000 4.229 0.000
2.115 2.115 10.274
La O Rb
2 2 1
Direct
0.304 0.304 0.392
0.696 0.696 0.608
0.250 0.750 0.500
0.750 0.250 0.500
0.000 0.000 0.000

***

# 7
RbLaRe2O8 | the Alexandria database | PBE | relaxed; theoretical density = 4.50 g/cm³; space group = P-3; raw total energy = -94.48 eV/cell; magnetic moment = 2.04 μB per formula unit; crystal system = trigonal; uncorrected formation energy = -2.002 eV per atom
1.0
6.173 0.000 0.000
-3.086 5.346 0.000
0.000 0.000 8.110
O La Rb Re
8 1 1 2
Direct
0.176 0.828 0.687
0.349 0.176 0.313
0.824 0.172 0.313
0.651 0.824 0.687
0.172 0.349 0.687
0.828 0.651 0.313
0.667 0.333 0.018
0.333 0.667 0.982
0.000 0.000 0.500
0.000 0.000 0.000
0.333 0.667 0.764
0.667 0.333 0.236

***

# 8
Rb2La2RhO6 | the Alexandria database | PBE | relaxed; theoretical density = 5.03 g/cm³; space group = C2/m; raw total energy = -71.37 eV/cell; magnetic moment = 1.07 μB per formula unit; crystal system = monoclinic; uncorrected formation energy = -2.044 eV per atom
1.0
6.050 0.026 0.148
-2.968 5.272 0.148
-1.001 -1.720 6.588
La Rb O Rh
2 2 6 1
Direct
0.664 0.336 0.500
0.336 0.664 0.500
0.841 0.159 0.000
0.159 0.841 0.000
0.958 0.657 0.337
0.042 0.343 0.663
0.764 0.764 0.672
0.236 0.236 0.328
0.657 0.958 0.337
0.343 0.042 0.663
0.000 0.000 0.500

***

# 9
RbLaRhO4 | the Alexandria database | PBE | relaxed; theoretical density = 4.96 g/cm³; space group = P2_1/m; raw total energy = -89.95 eV/cell; magnetic moment = 0.96 μB per formula unit; crystal system = monoclinic; uncorrected formation energy = -1.699 eV per atom
1.0
6.020 0.000 -0.624
0.000 5.729 0.000
-3.072 0.000 7.913
La O Rb Rh
2 8 2 2
Direct
0.774 0.750 0.480
0.226 0.250 0.520
0.628 0.250 0.813
0.924 0.525 0.304
0.076 0.025 0.696
0.592 0.250 0.468
0.408 0.750 0.532
0.372 0.750 0.187
0.076 0.475 0.696
0.924 0.975 0.304
0.522 0.750 0.892
0.478 0.250 0.108
0.157 0.750 0.287
0.843 0.250 0.713

***

# 10
Rb3La2RhO6 | the Alexandria database | PBE | relaxed; theoretical density = 5.67 g/cm³; space group = C2/m; raw total energy = -73.48 eV/cell; magnetic moment = 0.00 μB per formula unit; crystal system = monoclinic; uncorrected formation energy = -1.968 eV per atom
1.0
-3.703 3.688 3.252
-1.407 -5.955 -0.668
5.048 -0.658 4.576
O La Rb Rh
6 2 3 1
Direct
0.060 0.365 0.179
0.365 0.060 0.179
0.753 0.753 0.179
0.635 0.940 0.821
0.940 0.635 0.821
0.247 0.247 0.821
0.333 0.667 0.000
0.667 0.333 0.000
0.500 0.500 0.500
0.840 0.160 0.500
0.160 0.840 0.500
0.000 0.000 0.000

***

# 11
Rb3La3RhO8 | the Alexandria database | PBE | relaxed; theoretical density = 5.10 g/cm³; space group = R-3m; raw total energy = -97.65 eV/cell; magnetic moment = 1.07 μB per formula unit; crystal system = trigonal; uncorrected formation energy = -2.196 eV per atom
1.0
7.189 0.000 0.000
-3.594 6.226 -0.023
0.000 -4.128 6.596
Rb O Rh La
3 8 1 3
Direct
0.000 0.000 0.000
0.500 0.500 0.000
0.000 0.500 0.000
0.797 0.595 0.335
0.798 0.037 0.335
0.203 0.405 0.665
0.760 0.963 0.665
0.240 0.037 0.335
0.273 0.546 0.319
0.202 0.963 0.665
0.727 0.454 0.681
0.000 0.000 0.500
0.500 0.500 0.500
0.000 0.500 0.500
0.500 0.000 0.500

***

# 12
Rb4La3RuO8 | the Alexandria database | PBE | relaxed; theoretical density = 5.55 g/cm³; space group = R-3m; raw total energy = -100.96 eV/cell; magnetic moment = 1.01 μB per formula unit; crystal system = trigonal; uncorrected formation energy = -2.086 eV per atom
1.0
7.223 0.000 0.000
0.000 7.749 0.356
-3.612 -3.602 5.116
Ru La Rb O
1 3 4 8
Direct
0.000 0.500 0.000
0.500 0.500 0.500
0.500 0.500 0.000
0.000 0.500 0.500
0.000 0.000 0.500
0.000 0.000 0.000
0.500 0.000 0.000
0.500 0.000 0.500
0.214 0.678 0.964
0.272 0.316 0.544
0.728 0.684 0.456
0.786 0.322 0.572
0.214 0.678 0.428
0.750 0.678 0.964
0.250 0.322 0.036
0.786 0.322 0.036

***

# 13
Rb2LaRuO6 | the Alexandria database | PBE | relaxed; theoretical density = 5.22 g/cm³; space group = Fm-3m; raw total energy = -62.85 eV/cell; magnetic moment = 0.02 μB per formula unit; crystal system = cubic; uncorrected formation energy = -1.696 eV per atom
1.0
6.110 0.000 0.001
0.000 6.110 0.001
-3.055 -3.055 4.319
O Rb Ru La
6 2 1 1
Direct
0.778 0.779 0.000
0.778 0.779 0.556
0.778 0.222 0.000
0.222 0.222 0.000
0.222 0.779 0.000
0.222 0.222 0.444
0.750 0.250 0.500
0.250 0.750 0.500
0.000 0.000 0.000
0.500 0.500 0.000

***

# 14
Rb2LaRu3O12 | the Alexandria database | PBE | relaxed; theoretical density = 4.98 g/cm³; space group = R-3m; raw total energy = -116.94 eV/cell; magnetic moment = 1.01 μB per formula unit; crystal system = trigonal; uncorrected formation energy = -1.264 eV per atom
1.0
7.036 -0.223 -0.158
3.281 6.228 -0.158
3.281 1.910 5.930
Rb O Ru La
2 12 3 1
Direct
0.395 0.395 0.395
0.605 0.605 0.605
0.283 0.283 0.907
0.880 0.880 0.410
0.717 0.717 0.093
0.093 0.717 0.717
0.907 0.283 0.283
0.120 0.120 0.590
0.590 0.120 0.120
0.717 0.093 0.717
0.120 0.590 0.120
0.880 0.410 0.880
0.283 0.907 0.283
0.410 0.880 0.880
0.000 0.000 0.500
0.500 0.000 0.000
0.000 0.500 0.000
0.000 0.000 0.000

***

# 15
Rb2La2RuO6 | the Alexandria database | PBE | relaxed; theoretical density = 5.02 g/cm³; space group = C2/m; raw total energy = -73.97 eV/cell; magnetic moment = 2.00 μB per formula unit; crystal system = monoclinic; uncorrected formation energy = -2.105 eV per atom
1.0
6.038 0.046 0.159
-2.944 5.272 0.159
-0.993 -1.707 6.585
La O Rb Ru
2 6 2 1
Direct
0.666 0.334 0.500
0.334 0.666 0.500
0.227 0.227 0.331
0.044 0.348 0.664
0.652 0.956 0.336
0.773 0.773 0.669
0.348 0.044 0.664
0.956 0.652 0.336
0.840 0.160 0.000
0.160 0.840 0.000
0.000 0.000 0.500

***

# 16
RbLa2RuO5 | the Alexandria database | PBE | relaxed; theoretical density = 6.15 g/cm³; space group = P4/mbm; raw total energy = -131.74 eV/cell; magnetic moment = 3.00 μB per formula unit; crystal system = tetragonal; uncorrected formation energy = -2.331 eV per atom
1.0
5.915 0.000 0.000
0.000 7.049 0.000
0.000 0.000 7.049
O Rb La Ru
10 2 4 2
Direct
0.247 0.631 0.869
0.753 0.369 0.131
0.247 0.369 0.131
0.500 0.000 0.000
0.247 0.869 0.369
0.500 0.500 0.500
0.247 0.131 0.631
0.753 0.869 0.369
0.753 0.131 0.631
0.753 0.631 0.869
0.000 0.000 0.000
0.000 0.500 0.500
0.500 0.681 0.181
0.500 0.181 0.319
0.500 0.819 0.681
0.500 0.319 0.819
0.000 0.000 0.500
0.000 0.500 0.000

***

# 17
RbLaRu2O8 | the Alexandria database | PBE | relaxed; theoretical density = 3.95 g/cm³; space group = R-3; raw total energy = -81.85 eV/cell; magnetic moment = 4.01 μB per formula unit; crystal system = trigonal; uncorrected formation energy = -1.478 eV per atom
1.0
5.722 0.000 0.000
2.861 4.955 0.000
2.861 1.652 8.230
O La Ru Rb
8 1 2 1
Direct
0.012 0.420 0.826
0.580 0.258 0.174
0.258 0.988 0.174
0.179 0.179 0.463
0.988 0.580 0.174
0.742 0.012 0.826
0.420 0.742 0.826
0.821 0.821 0.537
0.000 0.000 0.000
0.750 0.750 0.750
0.250 0.250 0.250
0.500 0.500 0.500

***

# 18
RbLaSO | the Alexandria database | PBE | relaxed; theoretical density = 4.50 g/cm³; space group = R3m; raw total energy = -23.78 eV/cell; magnetic moment = 0.00 μB per formula unit; crystal system = trigonal; uncorrected formation energy = -2.199 eV per atom
1.0
-2.054 -2.749 -2.043
1.932 -2.935 -1.897
-0.453 -6.031 4.666
S La O Rb
1 1 1 1
Direct
0.734 0.734 0.797
0.987 0.987 0.039
0.277 0.277 0.169
0.501 0.501 0.496

***

# 19
RbLaS2O6 | the Alexandria database | PBE | relaxed; theoretical density = 3.61 g/cm³; space group = C2/c; raw total energy = -128.78 eV/cell; magnetic moment = 0.00 μB per formula unit; crystal system = monoclinic; uncorrected formation energy = -2.049 eV per atom
1.0
6.882 -0.087 -0.203
-0.929 6.820 -0.203
-1.940 -2.195 7.685
S O Rb La
4 12 2 2
Direct
0.659 0.909 0.216
0.091 0.341 0.284
0.909 0.659 0.716
0.341 0.091 0.784
0.164 0.305 0.119
0.921 0.460 0.256
0.460 0.921 0.756
0.079 0.540 0.744
0.305 0.164 0.619
0.836 0.695 0.881
0.540 0.079 0.244
0.506 0.288 0.924
0.288 0.506 0.424
0.712 0.494 0.576
0.494 0.712 0.076
0.695 0.836 0.381
0.148 0.852 0.250
0.852 0.148 0.750
0.557 0.443 0.250
0.443 0.557 0.750

***

# 20
Rb2LaSO | the Alexandria database | PBE | relaxed; theoretical density = 2.99 g/cm³; space group = P4/mmm; raw total energy = -17.82 eV/cell; magnetic moment = 0.73 μB per formula unit; crystal system = tetragonal; uncorrected formation energy = -0.375 eV per atom
1.0
6.029 0.000 0.000
0.000 5.470 0.000
0.000 0.000 6.029
Rb S La O
2 1 1 1
Direct
0.500 0.000 0.000
0.000 0.000 0.500
0.000 0.000 0.000
0.000 0.500 0.000
0.500 0.500 0.500